Compound: BaFeTc2
Source: Alexandria via LeMat-Bulk
Functional: PBE
Structure: optimized geometry

volume: 75 Å³ per cell
N(E_F): 1.22 states/eV/atom
formation energy from the elements: 1.269 eV/atom
size of the total moment: 3.3 μB/cell
ρ: 8.66 Mg/m³

abc: 3.145 4.612 5.143
angles: 90.00 90.00 90.00
Last column: magnetic moment on the atom in μB.
Element x y z (fractional)
Ba 0.500 0.000 0.500  -0.07
Fe 0.000 0.500 0.500  2.63
Tc 0.000 0.000 0.000  0.69
Tc 0.500 0.500 0.000  -0.01